Entry from Alexandria: an optimized crystal structure of LiVOF3 (GGA+U).

a b c (Å): 7.162 5.626 9.727
angles (deg): 82.58 90.00 90.00
Last column: magnetic moment on the atom in μB.
Sites, in units of the cell vectors:
Li: 0.461 0.645 0.881  0.00
Li: 0.039 0.645 0.381  0.00
Li: 0.961 0.355 0.619  0.00
Li: 0.539 0.355 0.119  0.00
V: 0.651 0.862 0.557  1.04
V: 0.849 0.862 0.057  1.04
V: 0.151 0.138 0.943  1.04
V: 0.349 0.138 0.443  1.04
O: 0.955 0.896 0.900  -0.09
O: 0.545 0.896 0.400  -0.09
O: 0.455 0.104 0.600  -0.09
O: 0.045 0.104 0.100  -0.09
F: 0.336 0.926 0.907  0.00
F: 0.164 0.926 0.407  0.00
F: 0.564 0.644 0.704  0.00
F: 0.842 0.631 0.522  0.01
F: 0.342 0.369 0.978  0.01
F: 0.064 0.356 0.796  0.00
F: 0.936 0.644 0.204  0.00
F: 0.658 0.631 0.022  0.01
F: 0.158 0.369 0.478  0.01
F: 0.436 0.356 0.296  0.00
F: 0.836 0.074 0.593  0.00
F: 0.664 0.074 0.093  0.00

Density   2.2 Mg/m³
Uncorrected energy   -5.914 eV per atom
D(E_F)   0.00 states/eV/f.u.
Energy above the most stable polymorph in this dataset   54.6 meV/atom
Magnetization   1.00 μB per formula unit